No. 1
The following is a PBE-GGA calculation of a geometry-optimized Ca2CeSe4 structure, from Alexandria via LeMat-Bulk.

Output
Energy relative to the elements, uncorrected   -1796 meV per atom
VASP energy   -145.78 eV/cell
Energy relative to the lowest polymorph listed for this composition   0.0000 eV per atom

abc: 8.854 8.854 8.904
angles: 90.00 90.00 90.00
Space group I-42d (No. 122)
Unique sites:
1 Ca 0.120 0.750 0.125 [8 per cell]
2 Ce 0.000 0.000 0.500 [4 per cell]
3 Se 0.067 0.682 0.450 [16 per cell]

=====

No. 2
The following is a PBE-GGA calculation of a geometry-optimized CaCeSe2 structure, from Alexandria via LeMat-Bulk.

Output
Energy relative to the elements, uncorrected   -1856 meV per atom
VASP energy   -89.32 eV/cell
Energy relative to the lowest polymorph listed for this composition   0.0068 eV per atom

abc: 5.966 5.966 11.920
angles: 90.00 90.00 90.00
Space group I4_1/amd (No. 141, origin choice 2)
Unique sites:
1 Ca 0.000 0.250 0.375 [4 per cell]
2 Ce 0.000 0.250 0.875 [4 per cell]
3 Se 0.000 0.250 0.127 [8 per cell]

=====

No. 3
The following is a PBE-GGA calculation of a geometry-optimized CaCe5Se6 structure, from Alexandria via LeMat-Bulk.

Output
Energy relative to the elements, uncorrected   -1823 meV per atom
VASP energy   -148.90 eV/cell

abc: 7.284 12.629 7.283
angles: 90.00 109.50 90.00
Space group C2/m (No. 12)
Unique sites:
1 Ca 0.000 0.000 0.000 [2 per cell]
2 Ce 0.000 0.168 0.500 [4 per cell]
3 Ce 0.000 0.334 0.000 [4 per cell]
4 Ce 0.000 0.500 0.500 [2 per cell]
5 Se 0.246 0.000 0.751 [4 per cell]
6 Se 0.247 0.165 0.247 [8 per cell]

=====

No. 4
The following is a PBE-GGA calculation of a geometry-optimized CaCe2Se4 structure, from Alexandria via LeMat-Bulk.

Output
Energy relative to the elements, uncorrected   -1815 meV per atom
VASP energy   -162.05 eV/cell
Energy relative to the lowest polymorph listed for this composition   0.0000 eV per atom

abc: 8.514 8.555 11.873
angles: 90.00 90.00 90.00
Space group Imma (No. 74)
Unique sites:
1 Ca 0.250 0.250 0.250 [4 per cell]
2 Ce 0.000 0.000 0.000 [4 per cell]
3 Ce 0.250 0.250 0.750 [4 per cell]
4 Se 0.000 0.001 0.750 [8 per cell]
5 Se 0.236 0.250 0.998 [8 per cell]

=====

No. 5
The following is a PBE-GGA calculation of a geometry-optimized CaCeSe2 structure, from Alexandria via LeMat-Bulk.

Output
Energy relative to the elements, uncorrected   -1811 meV per atom
VASP energy   -44.29 eV/cell
Energy relative to the lowest polymorph listed for this composition   0.0523 eV per atom

abc: 4.1443 4.1443 14.3775
angles: 90.00 90.00 120.00
Space group P6_3/mmc (No. 194)
Unique sites:
1 Ca 0.3333 0.6667 0.2500 [2 per cell]
2 Ce 0.0000 0.0000 0.0000 [2 per cell]
3 Se 0.3333 0.6667 0.6250 [4 per cell]

=====

No. 6
The following is a PBE-GGA calculation of a geometry-optimized CaCe3Sm2Se6 structure, from Alexandria via LeMat-Bulk.

Output
Energy relative to the elements, uncorrected   -1840 meV per atom
VASP energy   -144.45 eV/cell

abc: 18.342 4.175 8.440
angles: 90.00 103.82 90.00
Space group C2/m (No. 12)
Unique sites:
1 Ca 0.000 0.000 0.000 [2 per cell]
2 Ce 0.000 0.000 0.500 [2 per cell]
3 Ce 0.168 0.500 0.832 [4 per cell]
4 Sm 0.169 0.500 0.338 [4 per cell]
5 Se 0.001 0.500 0.245 [4 per cell]
6 Se 0.164 0.000 0.085 [4 per cell]
7 Se 0.166 0.000 0.582 [4 per cell]

=====

No. 7
The following is a PBE-GGA calculation of a geometry-optimized Ca2CeSmSe4 structure, from Alexandria via LeMat-Bulk.

Output
Energy relative to the elements, uncorrected   -1880 meV per atom
VASP energy   -43.63 eV/cell

abc: 7.221 4.170 7.373
angles: 90.00 109.05 90.00
Space group P2/m (No. 10)
Unique sites:
1 Ca 0.000 0.000 0.000 [1 per cell]
2 Ca 0.500 0.500 0.000 [1 per cell]
3 Ce 0.000 0.500 0.500 [1 per cell]
4 Sm 0.500 0.000 0.500 [1 per cell]
5 Se 0.251 0.500 0.246 [2 per cell]
6 Se 0.254 0.000 0.756 [2 per cell]

=====

No. 8
The following is a PBE-GGA calculation of a geometry-optimized CaCeSm4Se8 structure, from Alexandria via LeMat-Bulk.

Output
Energy relative to the elements, uncorrected   -1784 meV per atom
VASP energy   -239.00 eV/cell

abc: 8.6167 8.6167 21.2708
angles: 90.00 90.00 120.00
Space group R3m (No. 160, hexagonal axes)
Unique sites:
1 Ca 0.0000 0.0000 0.0000 [3 per cell]
2 Ce 0.0000 0.0000 0.3735 [3 per cell]
3 Sm 0.0000 0.0000 0.7496 [3 per cell]
4 Sm 0.0052 0.5026 0.8755 [9 per cell]
5 Se 0.0000 0.0000 0.1335 [3 per cell]
6 Se 0.0000 0.0000 0.6169 [3 per cell]
7 Se 0.0186 0.5093 0.1289 [9 per cell]
8 Se 0.1774 0.3548 0.9539 [9 per cell]